Compound: Ce4Te5O
Source: Alexandria
Functional: PBE
Structure: relaxed

- Formation energy (no corrections): -1.37 eV per atom
- Total magnetic moment: 3.4 μB per formula unit
- E_tot: -5.809 eV/atom

CIF file:
```
data_Ce4Te5O
_space_group_name_H-M_alt 'C 1 2/m 1'
_space_group_IT_number 12
_cell_length_a 18.395
_cell_length_b 4.252
_cell_length_c 8.298
_cell_angle_alpha 90.00
_cell_angle_beta 102.79
_cell_angle_gamma 90.00
loop_
_space_group_symop_operation_xyz
'x,y,z'
'-x,-y,-z'
'-x,y,-z'
'x,-y,z'
'x+1/2,y+1/2,z'
'-x+1/2,-y+1/2,-z'
'-x+1/2,y+1/2,-z'
'x+1/2,-y+1/2,z'
loop_
_atom_site_label
_atom_site_fract_x
_atom_site_fract_y
_atom_site_fract_z
Ce1 0.003 0.000 0.281
Ce2 0.148 0.500 0.575
Te1 0.000 0.500 0.000
Te2 0.166 0.000 0.845
Te3 0.174 0.000 0.317
O1 0.000 0.500 0.500
```